An optimized crystal structure of AgB2Os. Source: the Alexandria database, functional GGA-PBEsol.

Cell lengths 4.831, 4.831, 5.969 Å; angles 113.87, 113.87, 90.00 degrees
Positions (direct):
Os: 0.000 0.000 0.000
B: 0.125 0.078 0.750
Ag: 0.500 0.500 0.000
Os: 0.250 0.750 0.500
B: 0.328 0.875 0.250
Ag: 0.750 0.250 0.500
B: 0.922 0.375 0.250
B: 0.625 0.672 0.750

## Properties
Formation enthalpy at 0 K, eV per atom: 0.80
Density, Mg/m³: 9.3
Total moment, μB per formula unit: 0.0
Symmetry: No. 122
Total DFT energy (no corrections), eV per atom: -6.58


An optimized crystal structure of Fe3PSe. Source: the Alexandria database, functional GGA-PBEsol.

Cell lengths 4.163, 4.163, 4.163 Å; angles 90.00, 90.00, 90.00 degrees
Last column: magnetic moment on the atom in μB.
Positions (direct):
P: 0.000 0.000 0.000  -0.09
Se: 0.500 0.500 0.500  0.06
Fe: 0.500 0.000 0.000  1.89
Fe: 0.000 0.000 0.500  1.89
Fe: 0.000 0.500 0.000  1.89

## Properties
Raw formation energy, kJ/mol of atoms: 38.04
Density, Mg/m³: 6.4
Total moment, μB per formula unit: 5.6
E above lowest polymorph, meV per atom: 0
Symmetry: No. 221
Total DFT energy (no corrections), eV per atom: -6.91


An optimized crystal structure of AlCdMo. Source: the Alexandria database, functional GGA-PBEsol.

Cell lengths 2.775, 2.775, 6.937 Å; angles 98.78, 98.78, 103.68 degrees
Positions (direct):
Mo: 0.343 0.343 0.685
Al: 0.989 0.989 0.979
Cd: 0.668 0.668 0.336

## Properties
Formation enthalpy at 0 K, eV per atom: 0.21
Density, Mg/m³: 7.8
Total moment, μB per formula unit: 0.0
Symmetry: No. 42
Total DFT energy (no corrections), eV per atom: -5.48


An optimized crystal structure of Tb3In12Pt4. Source: the Alexandria database, functional GGA-PBEsol.

Cell lengths 9.862, 9.862, 15.160 Å; angles 90.00, 90.00, 120.00 degrees
Positions (direct):
In: 0.333 0.667 0.587
In: 0.351 0.000 0.500
In: 0.333 0.667 0.382
Tb: 0.012 0.506 0.695
In: 0.555 0.778 0.832
Tb: 0.494 0.506 0.695
In: 0.880 0.120 0.324
Tb: 0.333 0.667 0.012
Pt: 0.495 0.990 0.110
In: 0.667 0.333 0.618
Tb: 0.667 0.333 0.988
Pt: 0.827 0.173 0.639
In: 0.576 0.788 0.185
In: 0.120 0.880 0.676
In: 0.000 0.351 0.500
In: 0.212 0.788 0.185
In: 0.222 0.445 0.832
In: 0.212 0.424 0.185
Tb: 0.506 0.012 0.305
Pt: 0.990 0.495 0.890
Tb: 0.494 0.988 0.695
In: 0.715 0.715 0.000
Pt: 0.827 0.655 0.639
In: 0.285 0.000 0.000
In: 0.240 0.120 0.324
In: 0.778 0.222 0.168
In: 0.445 0.222 0.168
In: 0.000 0.715 0.000
Tb: 0.506 0.494 0.305
In: 0.715 0.000 0.000
In: 0.880 0.760 0.324
In: 0.778 0.555 0.168
In: 0.000 0.000 0.127
Pt: 0.173 0.827 0.361
In: 0.649 0.000 0.500
Pt: 0.655 0.827 0.361
In: 0.120 0.240 0.676
Pt: 0.495 0.505 0.110
In: 0.788 0.576 0.815
Pt: 0.505 0.010 0.890
In: 0.351 0.351 0.500
In: 0.000 0.649 0.500
In: 0.760 0.880 0.676
Pt: 0.505 0.495 0.890
In: 0.649 0.649 0.500
Tb: 0.988 0.494 0.305
In: 0.788 0.212 0.815
In: 0.000 0.000 0.873
Pt: 0.173 0.345 0.361
In: 0.000 0.285 0.000
In: 0.667 0.333 0.413
In: 0.222 0.778 0.832
In: 0.285 0.285 0.000
Tb: 0.000 0.000 0.500
Pt: 0.010 0.505 0.110
In: 0.424 0.212 0.815
Pt: 0.345 0.173 0.639

## Properties
Formation enthalpy at 0 K, eV per atom: -0.60
Density, Mg/m³: 10.3
Total moment, μB per formula unit: 0.0
Symmetry: No. 164
Total DFT energy (no corrections), eV per atom: -4.74


An optimized crystal structure of ZnHg2Rh. Source: the Alexandria database, functional GGA-PBEsol.

Cell lengths 3.067, 3.891, 5.672 Å; angles 90.00, 90.00, 90.00 degrees
Positions (direct):
Zn: 0.500 0.500 0.500
Hg: 0.000 0.000 0.248
Hg: 0.000 0.000 0.752
Rh: 0.500 0.500 0.000

## Properties
Formation enthalpy at 0 K, eV per atom: 0.10
Density, Mg/m³: 14.0
Total moment, μB per formula unit: 0.0
Symmetry: No. 47
Total DFT energy (no corrections), eV per atom: -2.61


An optimized crystal structure of ReIrAu2. Source: the Alexandria database, functional GGA-PBEsol.

Cell lengths 2.771, 4.940, 4.940 Å; angles 113.85, 90.00, 90.00 degrees
Positions (direct):
Re: 0.500 0.500 0.500
Ir: 0.500 0.000 0.000
Au: 0.000 0.500 0.000
Au: 0.000 0.000 0.500

## Properties
Formation enthalpy at 0 K, eV per atom: 0.58
Density, Mg/m³: 20.7
Total moment, μB per formula unit: 0.0
E above lowest polymorph, meV per atom: 61
Symmetry: No. 65
Total DFT energy (no corrections), eV per atom: -7.17


An optimized crystal structure of Al2CdIr. Source: the Alexandria database, functional GGA-PBEsol.

Cell lengths 2.813, 2.813, 9.695 Å; angles 90.00, 90.00, 119.10 degrees
Positions (direct):
Cd: 0.000 0.000 0.482
Ir: 0.500 0.500 0.225
Al: 0.000 0.000 0.021
Al: 0.500 0.500 0.773

## Properties
Formation enthalpy at 0 K, eV per atom: 0.02
Density, Mg/m³: 8.9
Total moment, μB per formula unit: 0.0
Symmetry: No. 35
Total DFT energy (no corrections), eV per atom: -4.78


An optimized crystal structure of KTlSb2. Source: the Alexandria database, functional GGA-PBEsol.

Cell lengths 4.335, 6.254, 5.303 Å; angles 110.80, 90.00, 110.28 degrees
Positions (direct):
K: 0.000 0.000 0.500
Tl: 0.500 0.000 0.000
Sb: 0.245 0.490 0.184
Sb: 0.755 0.510 0.816

## Properties
Raw formation energy, kJ/mol of atoms: -15.30
Density, Mg/m³: 6.5
Total moment, μB per formula unit: 0.0
E above lowest polymorph, meV per atom: 0
Symmetry: No. 12
Total DFT energy (no corrections), eV per atom: -3.38


An optimized crystal structure of SnP2O7. Source: the Alexandria database, functional GGA-PBEsol.

Cell lengths 5.104, 6.802, 8.482 Å; angles 68.28, 89.18, 89.04 degrees
Positions (direct):
P: 0.750 0.884 0.838
O: 0.171 0.283 0.481
O: 0.904 0.360 0.761
O: 0.443 0.490 0.670
O: 0.557 0.510 0.330
O: 0.096 0.640 0.239
O: 0.829 0.717 0.519
O: 0.962 0.059 0.205
O: 0.717 0.660 0.822
O: 0.676 0.840 0.022
O: 0.283 0.340 0.178
Sn: 0.243 0.214 0.732
P: 0.250 0.116 0.162
O: 0.436 0.959 0.287
Sn: 0.757 0.786 0.268
O: 0.324 0.160 0.978
O: 0.038 0.941 0.795
O: 0.564 0.041 0.713
P: 0.725 0.553 0.684
P: 0.275 0.447 0.316

## Properties
Raw formation energy, kJ/mol of atoms: -199.27
Density, Mg/m³: 3.6
Total moment, μB per formula unit: 0.0
E above lowest polymorph, meV per atom: 0
Symmetry: No. 2
Total DFT energy (no corrections), eV per atom: -7.32


An optimized crystal structure of B5PH4Cl. Source: the Alexandria database, functional GGA-PBEsol.

Cell lengths 12.378, 13.150, 13.414 Å; angles 90.00, 90.00, 90.00 degrees
Positions (direct):
B: 0.666 0.697 0.978
Cl: 0.611 0.910 0.198
H: 0.354 0.600 0.080
B: 0.183 0.516 0.578
P: 0.323 0.849 0.793
B: 0.171 0.302 0.653
B: 0.788 0.647 0.028
B: 0.709 0.725 0.420
H: 0.646 0.400 0.920
B: 0.166 0.803 0.978
B: 0.712 0.647 0.528
B: 0.875 0.612 0.930
H: 0.172 0.191 0.084
Cl: 0.389 0.590 0.698
Cl: 0.889 0.410 0.802
H: 0.115 0.237 0.483
B: 0.317 0.516 0.078
H: 0.623 0.544 0.097
H: 0.326 0.321 0.396
B: 0.401 0.402 0.087
B: 0.328 0.430 0.976
B: 0.671 0.198 0.653
H: 0.844 0.955 0.458
B: 0.799 0.018 0.507
Cl: 0.111 0.590 0.198
B: 0.813 0.507 0.863
B: 0.166 0.303 0.522
B: 0.829 0.698 0.347
P: 0.330 0.451 0.213
B: 0.829 0.198 0.153
B: 0.666 0.197 0.522
H: 0.844 0.455 0.042
P: 0.170 0.451 0.713
Cl: 0.611 0.410 0.302
B: 0.329 0.802 0.347
Cl: 0.104 0.211 0.729
H: 0.672 0.309 0.084
B: 0.334 0.303 0.022
B: 0.828 0.070 0.976
B: 0.313 0.993 0.863
B: 0.672 0.570 0.024
B: 0.125 0.888 0.430
Cl: 0.389 0.090 0.802
H: 0.028 0.884 0.433
H: 0.385 0.237 0.983
P: 0.330 0.951 0.287
H: 0.615 0.263 0.483
H: 0.472 0.884 0.933
H: 0.003 0.407 0.595
B: 0.291 0.275 0.580
H: 0.997 0.093 0.095
B: 0.401 0.902 0.413
H: 0.885 0.763 0.517
H: 0.174 0.321 0.896
B: 0.288 0.853 0.028
H: 0.344 0.545 0.458
B: 0.209 0.775 0.420
H: 0.156 0.045 0.542
H: 0.826 0.179 0.396
B: 0.817 0.984 0.078
H: 0.854 0.900 0.080
B: 0.201 0.982 0.493
B: 0.291 0.775 0.920
H: 0.028 0.384 0.067
H: 0.646 0.900 0.580
B: 0.834 0.697 0.478
B: 0.875 0.112 0.570
H: 0.528 0.116 0.067
P: 0.177 0.349 0.207
B: 0.317 0.016 0.422
B: 0.299 0.482 0.507
B: 0.834 0.197 0.022
H: 0.826 0.679 0.104
B: 0.599 0.598 0.913
P: 0.830 0.049 0.213
B: 0.788 0.147 0.472
Cl: 0.104 0.711 0.771
B: 0.683 0.984 0.578
H: 0.674 0.179 0.896
H: 0.615 0.763 0.017
H: 0.885 0.263 0.983
B: 0.687 0.007 0.137
P: 0.677 0.651 0.293
H: 0.828 0.809 0.916
B: 0.212 0.353 0.972
H: 0.174 0.821 0.604
H: 0.146 0.600 0.580
B: 0.687 0.507 0.363
H: 0.972 0.616 0.933
H: 0.115 0.737 0.017
H: 0.528 0.616 0.433
B: 0.201 0.482 0.007
P: 0.670 0.049 0.713
B: 0.328 0.930 0.524
B: 0.171 0.802 0.847
H: 0.997 0.593 0.405
H: 0.377 0.956 0.597
H: 0.623 0.044 0.403
H: 0.328 0.691 0.916
Cl: 0.604 0.789 0.771
B: 0.701 0.518 0.493
B: 0.901 0.098 0.087
B: 0.187 0.993 0.363
B: 0.288 0.353 0.472
P: 0.677 0.151 0.207
Cl: 0.896 0.289 0.229
H: 0.877 0.544 0.597
B: 0.625 0.612 0.430
B: 0.183 0.016 0.922
H: 0.003 0.907 0.905
B: 0.125 0.388 0.070
H: 0.854 0.400 0.420
H: 0.497 0.407 0.095
P: 0.823 0.151 0.707
H: 0.656 0.455 0.542
H: 0.385 0.737 0.517
B: 0.375 0.888 0.930
B: 0.672 0.070 0.476
Cl: 0.896 0.789 0.271
B: 0.375 0.388 0.570
Cl: 0.396 0.711 0.271
H: 0.344 0.045 0.042
Cl: 0.111 0.090 0.302
H: 0.123 0.456 0.403
B: 0.683 0.484 0.922
P: 0.670 0.549 0.787
P: 0.323 0.349 0.707
B: 0.099 0.902 0.913
B: 0.313 0.493 0.637
H: 0.326 0.821 0.104
B: 0.671 0.698 0.847
B: 0.625 0.112 0.070
H: 0.656 0.955 0.958
P: 0.823 0.651 0.793
B: 0.172 0.930 0.024
H: 0.472 0.384 0.567
Cl: 0.604 0.289 0.729
Cl: 0.396 0.211 0.229
H: 0.146 0.100 0.920
B: 0.701 0.018 0.007
B: 0.099 0.402 0.587
B: 0.209 0.275 0.080
B: 0.817 0.484 0.422
B: 0.828 0.570 0.524
B: 0.901 0.598 0.413
H: 0.674 0.679 0.604
P: 0.830 0.549 0.287
H: 0.828 0.309 0.584
H: 0.156 0.545 0.958
H: 0.377 0.456 0.903
H: 0.354 0.100 0.420
H: 0.497 0.907 0.405
H: 0.877 0.044 0.903
B: 0.212 0.853 0.528
B: 0.791 0.725 0.920
B: 0.712 0.147 0.972
B: 0.299 0.982 0.993
H: 0.172 0.691 0.416
B: 0.334 0.803 0.478
H: 0.972 0.116 0.567
H: 0.503 0.593 0.905
P: 0.170 0.951 0.787
B: 0.791 0.225 0.580
B: 0.599 0.098 0.587
B: 0.799 0.518 0.993
H: 0.503 0.093 0.595
H: 0.123 0.956 0.097
B: 0.709 0.225 0.080
B: 0.187 0.493 0.137
B: 0.329 0.302 0.153
H: 0.328 0.191 0.584
H: 0.672 0.809 0.416
B: 0.172 0.430 0.476
Cl: 0.889 0.910 0.698
B: 0.813 0.007 0.637
P: 0.177 0.849 0.293

## Properties
Density, Mg/m³: 1.5
Total moment, μB per formula unit: 0.0
Symmetry: No. 61
Total DFT energy (no corrections), eV per atom: -5.31


An optimized crystal structure of Sc2FeSb. Source: the Alexandria database, functional GGA-PBEsol.

Cell lengths 3.124, 3.124, 7.611 Å; angles 90.00, 90.00, 89.81 degrees
Positions (direct):
Sc: 0.000 0.000 0.696
Sb: 0.500 0.500 0.000
Sc: 0.000 0.000 0.304
Fe: 0.500 0.500 0.500

## Properties
Raw formation energy, kJ/mol of atoms: -36.11
Density, Mg/m³: 6.0
Total moment, μB per formula unit: 0.0
Symmetry: No. 65
Total DFT energy (no corrections), eV per atom: -7.06


An optimized crystal structure of FeTcO2. Source: the Alexandria database, functional GGA-PBEsol.

Cell lengths 2.702, 2.702, 6.640 Å; angles 78.26, 78.26, 60.00 degrees
Last column: magnetic moment on the atom in μB.
Positions (direct):
O: 0.097 0.097 0.709  0.03
O: 0.903 0.903 0.291  0.03
Fe: 0.000 0.000 0.000  2.73
Tc: 0.500 0.500 0.500  -0.01

## Properties
Raw formation energy, kJ/mol of atoms: -87.70
Density, Mg/m³: 7.6
Total moment, μB per formula unit: 2.8
Symmetry: No. 166
Total DFT energy (no corrections), eV per atom: -8.59


An optimized crystal structure of NaSrLi2C. Source: the Alexandria database, functional GGA-PBEsol.

Cell lengths 4.692, 4.692, 4.744 Å; angles 90.00, 90.00, 90.00 degrees
Positions (direct):
Sr: 0.500 0.500 0.500
C: 0.000 0.000 0.500
Li: 0.500 0.000 0.000
Li: 0.000 0.500 0.000
Na: 0.000 0.000 0.000

## Properties
Formation enthalpy at 0 K, eV per atom: 1.00
Density, Mg/m³: 2.2
Total moment, μB per formula unit: 0.2
Symmetry: No. 123
Total DFT energy (no corrections), eV per atom: -2.36


An optimized crystal structure of BaTe3. Source: the Alexandria database, functional GGA-PBEsol.

Cell lengths 4.095, 4.095, 8.000 Å; angles 90.00, 90.00, 102.82 degrees
Positions (direct):
Te: 0.500 0.500 0.731
Te: 0.500 0.500 0.269
Te: 0.000 0.000 0.500
Ba: 0.000 0.000 0.000

## Properties
Raw formation energy, kJ/mol of atoms: -50.03
Density, Mg/m³: 6.6
Total moment, μB per formula unit: 0.0
Symmetry: No. 65
Total DFT energy (no corrections), eV per atom: -3.70


An optimized crystal structure of CrNi2Ir. Source: the Alexandria database, functional GGA-PBEsol.

Cell lengths 2.587, 3.527, 5.059 Å; angles 90.00, 90.00, 90.00 degrees
Last column: magnetic moment on the atom in μB.
Positions (direct):
Cr: 0.500 0.000 0.494  0.09
Ni: 0.500 0.000 0.018  -0.01
Ir: 0.000 0.500 0.744  -0.01
Ni: 0.000 0.500 0.244  0.00

## Properties
Formation enthalpy at 0 K, eV per atom: -0.07
Density, Mg/m³: 13.0
Total moment, μB per formula unit: 0.1
Symmetry: No. 25
Total DFT energy (no corrections), eV per atom: -8.17